VASP calculation (PBE-GGA) on Sr2CaYAs after structural relaxation.

Properties
* energy relative to the elements: 21.5 kJ per mole of atoms
* magnetization: 0.0 μB/f.u.
* D(E_F): 1.044 states/eV/atom

```
data_Sr2CaYAs
_chemical_formula_sum 'Sr2 Ca1 Y1 As1'
_space_group_name_H-M_alt 'P 4/m m m'
_space_group_IT_number 123
_space_group_name_Hall '-P 4 2'
_cell_length_a 6.6035
_cell_length_b 6.6035
_cell_length_c 5.3670
_cell_angle_alpha 90.00
_cell_angle_beta 90.00
_cell_angle_gamma 90.00
loop_
_atom_site_label
_atom_site_fract_x
_atom_site_fract_y
_atom_site_fract_z
Sr1 0.0000 0.5000 0.0000
Ca1 0.0000 0.0000 0.5000
Y1 0.5000 0.5000 0.0000
As1 0.5000 0.5000 0.5000
```

VASP calculation (PBE-GGA) on Na3NdTh2Te6 after structural relaxation.

Properties
* uncorrected formation energy: -1359 kJ/mol of formula units
* magnetization: 0.0 μB/f.u.
* D(E_F): 0.535 states/eV/atom

```
data_Na3NdTh2Te6
_chemical_formula_sum 'Na6 Nd2 Th4 Te12'
_space_group_name_H-M_alt 'C 1 2/m 1'
_space_group_IT_number 12
_space_group_name_Hall '-C 2y'
_cell_length_a 7.6890
_cell_length_b 13.3169
_cell_length_c 8.1726
_cell_angle_alpha 90.00
_cell_angle_beta 108.27
_cell_angle_gamma 90.00
loop_
_atom_site_label
_atom_site_fract_x
_atom_site_fract_y
_atom_site_fract_z
Na1 0.0000 0.0000 0.0000
Na2 0.0000 0.3347 0.0000
Nd1 0.0000 0.5000 0.5000
Th1 0.0000 0.1668 0.5000
Te1 0.2443 0.0000 0.7439
Te2 0.2501 0.1685 0.2561
```

VASP calculation (PBE-GGA) on CoB7Mo3 after structural relaxation.

Properties
* energy relative to the elements: -26.3 kJ per mole of atoms
* magnetization: 0.0 μB/f.u.
* D(E_F): 0.439 states/eV/atom

```
data_CoB7Mo3
_chemical_formula_sum 'Co4 B28 Mo12'
_space_group_name_H-M_alt 'C m c m'
_space_group_IT_number 63
_space_group_name_Hall '-C 2c 2'
_cell_length_a 3.0737
_cell_length_b 13.9979
_cell_length_c 8.9651
_cell_angle_alpha 90.00
_cell_angle_beta 90.00
_cell_angle_gamma 90.00
loop_
_atom_site_label
_atom_site_fract_x
_atom_site_fract_y
_atom_site_fract_z
Co1 0.0000 0.0342 0.2500
B1 0.0000 0.2715 0.5360
B2 0.0000 0.3680 0.6549
B3 0.0000 0.4218 0.2500
B4 0.0000 0.4892 0.5942
Mo1 0.0000 0.1104 0.5425
Mo2 0.0000 0.2527 0.2500
```

VASP calculation (PBE-GGA) on In3RuF after structural relaxation.

Properties
* uncorrected formation energy: -179 kJ/mol of formula units
* magnetization: 0.0 μB/f.u.
* D(E_F): 0.388 states/eV/atom

```
data_In3RuF
_chemical_formula_sum 'In3 Ru1 F1'
_space_group_name_H-M_alt 'P m -3 m'
_space_group_IT_number 221
_space_group_name_Hall '-P 4 2 3'
_cell_length_a 5.1259
_cell_length_b 5.1259
_cell_length_c 5.1259
_cell_angle_alpha 90.00
_cell_angle_beta 90.00
_cell_angle_gamma 90.00
loop_
_atom_site_label
_atom_site_fract_x
_atom_site_fract_y
_atom_site_fract_z
In1 0.0000 0.0000 0.5000
Ru1 0.0000 0.0000 0.0000
F1 0.5000 0.5000 0.5000
```

VASP calculation (PBE-GGA) on NaBi5Pb2 after structural relaxation.

Properties
* energy relative to the elements: -2.3 kJ per mole of atoms
* magnetization: 0.0 μB/f.u.
* D(E_F): 0.621 states/eV/atom

```
data_NaBi5Pb2
_chemical_formula_sum 'Na2 Bi10 Pb4'
_space_group_name_H-M_alt 'I 4/m m m'
_space_group_IT_number 139
_space_group_name_Hall '-I 4 2'
_cell_length_a 8.5288
_cell_length_b 8.5288
_cell_length_c 6.9269
_cell_angle_alpha 90.00
_cell_angle_beta 90.00
_cell_angle_gamma 90.00
loop_
_atom_site_label
_atom_site_fract_x
_atom_site_fract_y
_atom_site_fract_z
Na1 0.0000 0.0000 0.0000
Bi1 0.0000 0.0000 0.5000
Bi2 0.2500 0.2500 0.2500
Pb1 0.0000 0.5000 0.0000
```

VASP calculation (PBE-GGA) on PrGa5Ir2Pt after structural relaxation.

Properties
* energy relative to the elements: -38.0 kJ per mole of atoms
* magnetization: 0.0 μB/f.u.
* D(E_F): 0.543 states/eV/atom

```
data_PrGa5Ir2Pt
_chemical_formula_sum 'Pr1 Ga5 Ir2 Pt1'
_space_group_name_H-M_alt 'P 4/m m m'
_space_group_IT_number 123
_space_group_name_Hall '-P 4 2'
_cell_length_a 4.3687
_cell_length_b 4.3687
_cell_length_c 9.9037
_cell_angle_alpha 90.00
_cell_angle_beta 90.00
_cell_angle_gamma 90.00
loop_
_atom_site_label
_atom_site_fract_x
_atom_site_fract_y
_atom_site_fract_z
Pr1 0.0000 0.0000 0.0000
Ga1 0.0000 0.5000 0.3469
Ga2 0.5000 0.5000 0.0000
Ir1 0.5000 0.5000 0.2333
Pt1 0.0000 0.0000 0.5000
```

VASP calculation (PBE-GGA) on NdHo3B after structural relaxation.

Properties
* energy relative to the elements: 4.3 kJ per mole of atoms
* magnetization: 0.0 μB/f.u.
* D(E_F): 1.172 states/eV/atom

```
data_NdHo3B
_chemical_formula_sum 'Nd1 Ho3 B1'
_space_group_name_H-M_alt 'P m -3 m'
_space_group_IT_number 221
_space_group_name_Hall '-P 4 2 3'
_cell_length_a 5.1559
_cell_length_b 5.1559
_cell_length_c 5.1559
_cell_angle_alpha 90.00
_cell_angle_beta 90.00
_cell_angle_gamma 90.00
loop_
_atom_site_label
_atom_site_fract_x
_atom_site_fract_y
_atom_site_fract_z
Nd1 0.0000 0.0000 0.0000
Ho1 0.0000 0.5000 0.5000
B1 0.5000 0.5000 0.5000
```

VASP calculation (PBE-GGA) on CrFe2Mo after structural relaxation.

Properties
* energy relative to the elements: 11.0 kJ per mole of atoms
* magnetization: 4.2 μB/f.u.
* D(E_F): 1.085 states/eV/atom

```
data_CrFe2Mo
_chemical_formula_sum 'Cr1 Fe2 Mo1'
_space_group_name_H-M_alt 'P 4 m m'
_space_group_IT_number 99
_space_group_name_Hall 'P 4 -2'
_cell_length_a 2.9772
_cell_length_b 2.9772
_cell_length_c 5.7068
_cell_angle_alpha 90.00
_cell_angle_beta 90.00
_cell_angle_gamma 90.00
loop_
_atom_site_label
_atom_site_fract_x
_atom_site_fract_y
_atom_site_fract_z
Cr1 0.0000 0.0000 0.0000
Fe1 0.0000 0.0000 0.4750
Fe2 0.5000 0.5000 0.2397
Mo1 0.5000 0.5000 0.7407
```

VASP calculation (PBE-GGA) on HoBePt3 after structural relaxation.

Properties
* energy relative to the elements: -93.5 kJ per mole of atoms
* magnetization: 0.0 μB/f.u.
* D(E_F): 0.356 states/eV/atom

```
data_HoBePt3
_chemical_formula_sum 'Ho2 Be2 Pt6'
_space_group_name_H-M_alt 'P 1 21/m 1'
_space_group_IT_number 11
_space_group_name_Hall '-P 2yb'
_cell_length_a 5.3597
_cell_length_b 5.7224
_cell_length_c 5.9309
_cell_angle_alpha 90.00
_cell_angle_beta 115.57
_cell_angle_gamma 90.00
loop_
_atom_site_label
_atom_site_fract_x
_atom_site_fract_y
_atom_site_fract_z
Ho1 0.0208 0.2500 0.2963
Be1 0.3424 0.7500 0.4547
Pt1 0.0880 0.2500 0.8261
Pt2 0.4818 0.5055 0.2277
```

VASP calculation (PBE-GGA) on Sr4HgGe3 after structural relaxation.

Properties
* energy relative to the elements: -55.2 kJ per mole of atoms
* magnetization: 0.0 μB/f.u.
* D(E_F): 0.362 states/eV/atom

```
data_Sr4HgGe3
_chemical_formula_sum 'Sr4 Hg1 Ge3'
_space_group_name_H-M_alt 'P m m 2'
_space_group_IT_number 25
_space_group_name_Hall 'P 2 -2'
_cell_length_a 4.3427
_cell_length_b 4.7743
_cell_length_c 11.8877
_cell_angle_alpha 90.00
_cell_angle_beta 90.00
_cell_angle_gamma 90.00
loop_
_atom_site_label
_atom_site_fract_x
_atom_site_fract_y
_atom_site_fract_z
Sr1 0.0000 0.0000 0.0000
Sr2 0.0000 0.5000 0.4875
Sr3 0.5000 0.0000 0.7168
Sr4 0.5000 0.5000 0.2191
Hg1 0.0000 0.5000 0.7792
Ge1 0.0000 0.0000 0.2891
Ge2 0.5000 0.0000 0.4220
Ge3 0.5000 0.5000 0.9387
```

VASP calculation (PBE-GGA) on Tb2ThHg5 after structural relaxation.

Properties
* energy relative to the elements: -34.7 kJ per mole of atoms
* magnetization: 0.0 μB/f.u.
* D(E_F): 0.579 states/eV/atom

```
data_Tb2ThHg5
_chemical_formula_sum 'Tb4 Th2 Hg10'
_space_group_name_H-M_alt 'I 4/m m m'
_space_group_IT_number 139
_space_group_name_Hall '-I 4 2'
_cell_length_a 5.2726
_cell_length_b 5.2726
_cell_length_c 14.7394
_cell_angle_alpha 90.00
_cell_angle_beta 90.00
_cell_angle_gamma 90.00
loop_
_atom_site_label
_atom_site_fract_x
_atom_site_fract_y
_atom_site_fract_z
Tb1 0.0000 0.0000 0.2331
Th1 0.0000 0.0000 0.5000
Hg1 0.0000 0.0000 0.0000
Hg2 0.0000 0.5000 0.1271
```

VASP calculation (PBE-GGA) on Tb4DyIn3 after structural relaxation.

Properties
* energy relative to the elements: -31.1 kJ per mole of atoms
* magnetization: 1.4 μB/f.u.
* D(E_F): 1.333 states/eV/atom

```
data_Tb4DyIn3
_chemical_formula_sum 'Tb12 Dy3 In9'
_space_group_name_H-M_alt 'R -3 m'
_space_group_IT_number 166
_space_group_name_Hall '-R 3 2"'
_cell_length_a 5.3782
_cell_length_b 5.3782
_cell_length_c 27.1253
_cell_angle_alpha 90.00
_cell_angle_beta 90.00
_cell_angle_gamma 120.00
loop_
_atom_site_label
_atom_site_fract_x
_atom_site_fract_y
_atom_site_fract_z
Tb1 0.0000 0.0000 0.1151
Tb2 0.0000 0.0000 0.3703
Dy1 0.0000 0.0000 0.5000
In1 0.0000 0.0000 0.0000
In2 0.0000 0.0000 0.2382
```

VASP calculation (PBE-GGA) on Rb2Tl2Pd after structural relaxation.

Properties
* energy relative to the elements: -1.8 kJ per mole of atoms
* magnetization: 0.0 μB/f.u.
* D(E_F): 0.636 states/eV/atom

```
data_Rb2Tl2Pd
_chemical_formula_sum 'Rb4 Tl4 Pd2'
_space_group_name_H-M_alt 'P 4/m b m'
_space_group_IT_number 127
_space_group_name_Hall '-P 4 2ab'
_cell_length_a 7.4722
_cell_length_b 7.4722
_cell_length_c 6.3054
_cell_angle_alpha 90.00
_cell_angle_beta 90.00
_cell_angle_gamma 90.00
loop_
_atom_site_label
_atom_site_fract_x
_atom_site_fract_y
_atom_site_fract_z
Rb1 0.1832 0.3168 0.0000
Tl1 0.1520 0.6520 0.5000
Pd1 0.0000 0.0000 0.5000
```

VASP calculation (PBE-GGA) on TbUGa after structural relaxation.

Properties
* energy relative to the elements: 14.7 kJ per mole of atoms
* magnetization: 3.2 μB/f.u.
* D(E_F): 2.132 states/eV/atom

```
data_TbUGa
_chemical_formula_sum 'Tb8 U8 Ga8'
_space_group_name_H-M_alt 'F m m m'
_space_group_IT_number 69
_space_group_name_Hall '-F 2 2'
_cell_length_a 5.5274
_cell_length_b 8.5466
_cell_length_c 12.5216
_cell_angle_alpha 90.00
_cell_angle_beta 90.00
_cell_angle_gamma 90.00
loop_
_atom_site_label
_atom_site_fract_x
_atom_site_fract_y
_atom_site_fract_z
Tb1 0.0000 0.1749 0.0000
U1 0.2500 0.2500 0.2500
Ga1 0.0000 0.0000 0.3940
```

VASP calculation (PBE-GGA) on Ba2PaCd2As4 after structural relaxation.

Properties
* energy relative to the elements: -78.6 kJ per mole of atoms
* magnetization: 0.9 μB/f.u.
* D(E_F): 0.586 states/eV/atom

```
data_Ba2PaCd2As4
_chemical_formula_sum 'Ba4 Pa2 Cd4 As8'
_space_group_name_H-M_alt 'C 1 2/m 1'
_space_group_IT_number 12
_space_group_name_Hall '-C 2y'
_cell_length_a 15.8478
_cell_length_b 4.3571
_cell_length_c 7.8825
_cell_angle_alpha 90.00
_cell_angle_beta 109.85
_cell_angle_gamma 90.00
loop_
_atom_site_label
_atom_site_fract_x
_atom_site_fract_y
_atom_site_fract_z
Ba1 0.1303 0.0000 0.0730
Pa1 0.0000 0.0000 0.5000
Cd1 0.1748 0.5000 0.4905
As1 0.0070 0.5000 0.2529
As2 0.1992 0.0000 0.7075
```

VASP calculation (PBE-GGA) on CeGa2Ru after structural relaxation.

Properties
* energy relative to the elements: -18.9 kJ per mole of atoms
* magnetization: 0.0 μB/f.u.
* D(E_F): 0.982 states/eV/atom

```
data_CeGa2Ru
_chemical_formula_sum 'Ce3 Ga6 Ru3'
_space_group_name_H-M_alt 'R -3 m'
_space_group_IT_number 166
_space_group_name_Hall '-R 3 2"'
_cell_length_a 3.0471
_cell_length_b 3.0471
_cell_length_c 27.2619
_cell_angle_alpha 90.00
_cell_angle_beta 90.00
_cell_angle_gamma 120.00
loop_
_atom_site_label
_atom_site_fract_x
_atom_site_fract_y
_atom_site_fract_z
Ce1 0.0000 0.0000 0.0000
Ga1 0.0000 0.0000 0.2357
Ru1 0.0000 0.0000 0.5000
```

VASP calculation (PBE-GGA) on Ac2GeBi after structural relaxation.

Properties
* energy relative to the elements: -61.1 kJ per mole of atoms
* magnetization: 0.0 μB/f.u.
* D(E_F): 0.842 states/eV/atom

```
data_Ac2GeBi
_chemical_formula_sum 'Ac2 Ge1 Bi1'
_space_group_name_H-M_alt 'P 4/m m m'
_space_group_IT_number 123
_space_group_name_Hall '-P 4 2'
_cell_length_a 3.8765
_cell_length_b 3.8765
_cell_length_c 8.7528
_cell_angle_alpha 90.00
_cell_angle_beta 90.00
_cell_angle_gamma 90.00
loop_
_atom_site_label
_atom_site_fract_x
_atom_site_fract_y
_atom_site_fract_z
Ac1 0.0000 0.0000 0.2228
Ge1 0.5000 0.5000 0.0000
Bi1 0.5000 0.5000 0.5000
```

VASP calculation (PBE-GGA) on SrUBiO6 after structural relaxation.

Properties
* uncorrected formation energy: -2044 kJ/mol of formula units
* magnetization: 0.6 μB/f.u.
* D(E_F): 0.594 states/eV/atom

```
data_SrUBiO6
_chemical_formula_sum 'Sr2 U2 Bi2 O12'
_space_group_name_H-M_alt 'P -3 1 c'
_space_group_IT_number 163
_space_group_name_Hall '-P 3 2c'
_cell_length_a 5.8210
_cell_length_b 5.8210
_cell_length_c 10.5910
_cell_angle_alpha 90.00
_cell_angle_beta 90.00
_cell_angle_gamma 120.00
loop_
_atom_site_label
_atom_site_fract_x
_atom_site_fract_y
_atom_site_fract_z
Sr1 0.0000 0.0000 0.0000
U1 0.3333 0.6667 0.2500
Bi1 0.3333 0.6667 0.7500
O1 0.0204 0.3730 0.1411
```

VASP calculation (PBE-GGA) on LaCePm5Nd2 after structural relaxation.

Properties
* energy relative to the elements: 25.9 kJ per mole of atoms
* magnetization: 1.5 μB/f.u.
* D(E_F): 1.967 states/eV/atom

```
data_LaCePm5Nd2
_chemical_formula_sum 'La2 Ce2 Pm10 Nd4'
_space_group_name_H-M_alt 'P 4/m b m'
_space_group_IT_number 127
_space_group_name_Hall '-P 4 2ab'
_cell_length_a 8.7721
_cell_length_b 8.7721
_cell_length_c 8.2736
_cell_angle_alpha 90.00
_cell_angle_beta 90.00
_cell_angle_gamma 90.00
loop_
_atom_site_label
_atom_site_fract_x
_atom_site_fract_y
_atom_site_fract_z
La1 0.0000 0.0000 0.0000
Ce1 0.0000 0.5000 0.0000
Pm1 0.0000 0.0000 0.5000
Pm2 0.2037 0.2963 0.2237
Nd1 0.1219 0.6219 0.5000
```

VASP calculation (PBE-GGA) on MgBeSi2 after structural relaxation.

Properties
* uncorrected formation energy: 51 kJ/mol of formula units
* magnetization: 0.0 μB/f.u.
* D(E_F): 0.174 states/eV/atom

```
data_MgBeSi2
_chemical_formula_sum 'Mg2 Be2 Si4'
_space_group_name_H-M_alt 'P 1'
_space_group_IT_number 1
_space_group_name_Hall 'P 1'
_cell_length_a 5.2795
_cell_length_b 5.5259
_cell_length_c 5.6767
_cell_angle_alpha 63.47
_cell_angle_beta 62.72
_cell_angle_gamma 86.52
loop_
_atom_site_label
_atom_site_fract_x
_atom_site_fract_y
_atom_site_fract_z
Mg1 0.0000 0.0000 0.0000
Mg2 0.3950 0.2939 0.2299
Be1 0.4123 0.7550 0.6834
Be2 0.6504 0.5039 0.4743
Si1 0.3608 0.7684 0.3034
Si2 0.6105 0.0585 0.7575
Si3 0.8610 0.7121 0.6465
Si4 0.9673 0.4723 0.0536
```

VASP calculation (PBE-GGA) on Dy3Er8Pu2 after structural relaxation.

Properties
* energy relative to the elements: 28.3 kJ per mole of atoms
* magnetization: 14.5 μB/f.u.
* D(E_F): 2.303 states/eV/atom

```
data_Dy3Er8Pu2
_chemical_formula_sum 'Dy6 Er16 Pu4'
_space_group_name_H-M_alt 'C m m m'
_space_group_IT_number 65
_space_group_name_Hall '-C 2 2'
_cell_length_a 7.3413
_cell_length_b 20.0344
_cell_length_c 5.6010
_cell_angle_alpha 90.00
_cell_angle_beta 90.00
_cell_angle_gamma 90.00
loop_
_atom_site_label
_atom_site_fract_x
_atom_site_fract_y
_atom_site_fract_z
Dy1 0.0000 0.0000 0.0000
Dy2 0.2247 0.5000 0.5000
Er1 0.0000 0.1410 0.5000
Er2 0.0000 0.3235 0.5000
Er3 0.2186 0.3872 0.0000
Pu1 0.0000 0.2424 0.0000
```

VASP calculation (PBE-GGA) on Er2B2PtRh5 after structural relaxation.

Properties
* energy relative to the elements: -68.1 kJ per mole of atoms
* magnetization: 0.0 μB/f.u.
* D(E_F): 0.872 states/eV/atom

```
data_Er2B2PtRh5
_chemical_formula_sum 'Er4 B4 Pt2 Rh10'
_space_group_name_H-M_alt 'P 4/m b m'
_space_group_IT_number 127
_space_group_name_Hall '-P 4 2ab'
_cell_length_a 9.4799
_cell_length_b 9.4799
_cell_length_c 3.2389
_cell_angle_alpha 90.00
_cell_angle_beta 90.00
_cell_angle_gamma 90.00
loop_
_atom_site_label
_atom_site_fract_x
_atom_site_fract_y
_atom_site_fract_z
Er1 0.1772 0.3228 0.0000
B1 0.1226 0.6226 0.0000
Pt1 0.0000 0.0000 0.0000
Rh1 0.0000 0.5000 0.5000
Rh2 0.0707 0.7752 0.5000
```

Quick rundown of DFT total energy, same order as above: -3.073 -4.709 -8.121 -4.244 -3.541 -5.247 -4.991 -9.231 -6.254 -3.182 -2.633 -4.239 -2.390 -6.163 -4.566 -5.512 -4.812 -7.532 -4.637 -3.910 -5.781 -7.234 eV per atom